Computed, not measured: a geometry-optimized Ag2PtPb2 structure at the PBE level of DFT.

Calculated values
* distance to the lowest polymorph of the same formula: 57 meV/atom
* energy: -3.62 eV per atom
* crystal system: tetragonal

a = 7.295 Å, b = 7.295 Å, c = 4.423 Å
α = 90.00°, β = 90.00°, γ = 90.00°
Space group P4/mbm (No. 127)
One atom of each set of equivalent atoms:
1 Ag 0.141 0.359 0.000
2 Pt 0.000 0.000 0.500
3 Pb 0.159 0.659 0.500